1.
{"formula": "Ho3Er8Sc2", "functional": "GGA-PBE", "state": "optimized geometry", "lattice": [[4.500, 8.017, 0.952], [-4.500, 8.017, 0.952], [0.000, 2.768, 6.008]], "species": ["Er", "Er", "Er", "Er", "Er", "Er", "Er", "Er", "Ho", "Ho", "Ho", "Sc", "Sc"], "fractional_positions": [[0.561, 0.199, 0.548], [0.191, 0.191, 0.014], [0.801, 0.439, 0.452], [0.410, 0.410, 0.958], [0.809, 0.809, 0.986], [0.439, 0.801, 0.452], [0.199, 0.561, 0.548], [0.590, 0.590, 0.042], [0.171, 0.829, 0.000], [0.829, 0.171, 0.000], [0.000, 0.000, 0.500], [0.796, 0.796, 0.486], [0.204, 0.204, 0.514]], "volume_a3_per_atom": 31.5, "e_form_ev_per_atom": 0.236, "spacegroup": "C2/m (12)", "de_polymorph_ev_per_atom": 0.000}


2.
{"formula": "HoErSc2", "functional": "GGA-PBE", "state": "optimized geometry", "lattice": [[-5.198, 0.621, 1.258], [-3.507, -3.956, -1.016], [-2.140, -2.809, 4.064]], "species": ["Sc", "Sc", "Er", "Ho"], "fractional_positions": [[0.750, 0.750, 0.750], [0.250, 0.250, 0.250], [0.500, 0.500, 0.500], [0.000, 0.000, 0.000]], "volume_a3_per_atom": 27.6, "e_form_ev_per_atom": 0.095, "spacegroup": "Fm-3m (225)", "de_polymorph_ev_per_atom": 0.054}


3.
{"formula": "Ho6Er5Sc2", "functional": "GGA-PBE", "state": "optimized geometry", "lattice": [[-2.186, -2.488, -1.184], [8.513, -7.228, -0.521], [-3.678, -5.682, 18.738]], "species": ["Ho", "Ho", "Ho", "Ho", "Ho", "Ho", "Ho", "Ho", "Ho", "Ho", "Ho", "Ho", "Sc", "Sc", "Sc", "Sc", "Er", "Er", "Er", "Er", "Er", "Er", "Er", "Er", "Er", "Er"], "fractional_positions": [[0.000, 0.334, 0.883], [0.500, 0.419, 0.155], [0.000, 0.834, 0.617], [0.500, 0.581, 0.845], [0.000, 0.166, 0.383], [0.500, 0.919, 0.345], [0.000, 0.283, 0.555], [0.500, 0.081, 0.655], [0.000, 0.783, 0.945], [0.000, 0.217, 0.055], [0.000, 0.717, 0.445], [0.000, 0.666, 0.117], [0.000, 0.384, 0.287], [0.000, 0.884, 0.213], [0.000, 0.116, 0.787], [0.000, 0.616, 0.713], [0.500, 0.856, 0.780], [0.500, 0.500, 0.000], [0.500, 0.439, 0.422], [0.500, 0.061, 0.922], [0.500, 0.000, 0.500], [0.500, 0.144, 0.220], [0.500, 0.644, 0.280], [0.500, 0.561, 0.578], [0.500, 0.939, 0.078], [0.500, 0.356, 0.720]], "volume_a3_per_atom": 30.1, "e_form_ev_per_atom": 0.053, "spacegroup": "Pbam (55)"}


4.
{"formula": "Ho4Er2Sc", "functional": "GGA-PBE", "state": "optimized geometry", "lattice": [[6.028, 0.000, -0.320], [0.000, 6.432, 0.000], [-2.402, 0.000, 11.019]], "species": ["Ho", "Ho", "Ho", "Ho", "Ho", "Ho", "Ho", "Ho", "Er", "Er", "Er", "Er", "Sc", "Sc"], "fractional_positions": [[0.645, 0.504, 0.287], [0.968, 0.250, 0.133], [0.032, 0.750, 0.867], [0.853, 0.250, 0.560], [0.645, 0.996, 0.287], [0.355, 0.004, 0.713], [0.147, 0.750, 0.440], [0.355, 0.496, 0.713], [0.716, 0.750, 0.575], [0.388, 0.250, 0.998], [0.612, 0.750, 0.002], [0.284, 0.250, 0.425], [0.158, 0.750, 0.162], [0.842, 0.250, 0.838]], "volume_a3_per_atom": 30.2, "e_form_ev_per_atom": 0.144, "spacegroup": "P2_1/m (11)", "de_polymorph_ev_per_atom": 0.000}


5.
{"formula": "Ho6Er8Sc", "functional": "GGA-PBE", "state": "optimized geometry", "lattice": [[-4.966, -3.044, -6.759], [-7.463, -4.599, 1.665], [-7.686, 3.206, -1.686]], "species": ["Er", "Er", "Er", "Er", "Er", "Er", "Er", "Er", "Ho", "Ho", "Ho", "Ho", "Ho", "Ho", "Sc"], "fractional_positions": [[0.424, 0.424, 0.729], [0.723, 0.109, 0.425], [0.743, 0.723, 0.425], [0.257, 0.277, 0.575], [0.277, 0.891, 0.575], [0.891, 0.257, 0.575], [0.109, 0.743, 0.425], [0.576, 0.576, 0.271], [0.784, 0.455, 0.877], [0.117, 0.216, 0.123], [0.455, 0.883, 0.877], [0.216, 0.545, 0.123], [0.545, 0.117, 0.123], [0.883, 0.784, 0.877], [0.000, 0.000, 0.000]], "volume_a3_per_atom": 31.1, "e_form_ev_per_atom": 0.122, "spacegroup": "R-3 (148)", "de_polymorph_ev_per_atom": 0.000}


6.
{"formula": "Ho3ErSc4", "functional": "GGA-PBE", "state": "optimized geometry", "lattice": [[3.268, 0.000, -0.412], [-0.152, 6.226, -1.208], [-0.235, -0.997, 11.292]], "species": ["Ho", "Ho", "Ho", "Sc", "Sc", "Sc", "Sc", "Er"], "fractional_positions": [[0.000, 0.500, 0.000], [0.868, 0.114, 0.736], [0.132, 0.886, 0.264], [0.873, 0.634, 0.746], [0.739, 0.263, 0.479], [0.127, 0.366, 0.254], [0.261, 0.737, 0.521], [0.500, 0.000, 0.000]], "volume_a3_per_atom": 28.1, "e_form_ev_per_atom": 0.182, "spacegroup": "C2/m (12)", "de_polymorph_ev_per_atom": 0.159}


7.
{"formula": "Ho15ErSc4", "functional": "GGA-PBE", "state": "optimized geometry", "lattice": [[-2.589, -3.821, 1.681], [-1.501, -0.993, -4.570], [19.419, -14.568, -3.215]], "species": ["Ho", "Ho", "Ho", "Ho", "Ho", "Ho", "Ho", "Ho", "Ho", "Ho", "Ho", "Ho", "Ho", "Ho", "Ho", "Sc", "Sc", "Sc", "Sc", "Er"], "fractional_positions": [[0.500, 0.000, 0.897], [0.000, 0.500, 0.699], [0.000, 0.500, 0.500], [0.000, 0.500, 0.301], [0.500, 0.000, 0.103], [0.500, 0.500, 0.798], [0.500, 0.500, 0.000], [0.500, 0.500, 0.401], [0.500, 0.500, 0.599], [0.500, 0.000, 0.301], [0.500, 0.000, 0.500], [0.000, 0.500, 0.103], [0.500, 0.500, 0.202], [0.500, 0.000, 0.699], [0.000, 0.500, 0.897], [0.000, 0.000, 0.401], [0.000, 0.000, 0.202], [0.000, 0.000, 0.798], [0.000, 0.000, 0.599], [0.000, 0.000, 0.000]], "volume_a3_per_atom": 29.5, "e_form_ev_per_atom": 0.037, "spacegroup": "P4/mmm (123)"}


8.
{"formula": "HoEr8Sc6", "functional": "GGA-PBE", "state": "optimized geometry", "lattice": [[6.314, 0.000, 0.000], [0.000, 7.789, -4.497], [0.000, 0.000, 8.994]], "species": ["Er", "Er", "Er", "Er", "Er", "Er", "Er", "Er", "Sc", "Sc", "Sc", "Sc", "Sc", "Sc", "Ho"], "fractional_positions": [[0.107, 0.309, 0.348], [0.216, 0.667, 0.333], [0.107, 0.652, 0.962], [0.893, 0.348, 0.038], [0.893, 0.962, 0.309], [0.107, 0.038, 0.691], [0.893, 0.691, 0.652], [0.784, 0.333, 0.667], [0.595, 0.401, 0.328], [0.405, 0.599, 0.672], [0.405, 0.328, 0.927], [0.595, 0.672, 0.073], [0.595, 0.927, 0.599], [0.405, 0.073, 0.401], [0.500, 0.000, 0.000]], "volume_a3_per_atom": 29.5, "e_form_ev_per_atom": 0.249, "spacegroup": "P-3 (147)", "de_polymorph_ev_per_atom": 0.058}


9.
{"formula": "Ho3ErSc5", "functional": "GGA-PBE", "state": "optimized geometry", "lattice": [[-6.851, -0.368, -4.716], [3.584, -5.822, -4.752], [-0.990, -1.953, 8.940]], "species": ["Sc", "Sc", "Sc", "Sc", "Sc", "Sc", "Sc", "Sc", "Sc", "Sc", "Er", "Er", "Ho", "Ho", "Ho", "Ho", "Ho", "Ho"], "fractional_positions": [[0.659, 0.159, 0.730], [0.841, 0.929, 0.270], [0.159, 0.071, 0.730], [0.341, 0.841, 0.270], [0.571, 0.659, 0.730], [0.071, 0.571, 0.730], [0.000, 0.000, 0.000], [0.429, 0.341, 0.270], [0.929, 0.429, 0.270], [0.500, 0.500, 0.000], [0.250, 0.750, 0.500], [0.750, 0.250, 0.500], [0.619, 0.119, 0.000], [0.381, 0.881, 0.000], [0.750, 0.750, 0.500], [0.119, 0.381, 0.000], [0.250, 0.250, 0.500], [0.881, 0.619, 0.000]], "volume_a3_per_atom": 27.2, "e_form_ev_per_atom": 0.294, "spacegroup": "I4/mcm (140)"}


10.
{"formula": "Ho10ErSc4", "functional": "GGA-PBE", "state": "optimized geometry", "lattice": [[8.254, 0.000, 3.727], [4.127, 7.369, 1.863], [1.094, 0.000, 8.580]], "species": ["Sc", "Sc", "Sc", "Sc", "Ho", "Ho", "Ho", "Ho", "Ho", "Ho", "Ho", "Ho", "Ho", "Ho", "Er"], "fractional_positions": [[0.266, 0.272, 0.196], [0.538, 0.196, 0.728], [0.734, 0.728, 0.804], [0.462, 0.804, 0.272], [0.304, 0.668, 0.089], [0.061, 0.332, 0.911], [0.393, 0.911, 0.668], [0.028, 0.911, 0.668], [0.607, 0.089, 0.332], [0.939, 0.668, 0.089], [0.750, 0.500, 0.500], [0.972, 0.089, 0.332], [0.250, 0.500, 0.500], [0.696, 0.332, 0.911], [0.000, 0.000, 0.000]], "volume_a3_per_atom": 32.8, "e_form_ev_per_atom": 0.571, "spacegroup": "I4/m (87)"}


11.
{"formula": "Ho3Er2Sc7", "functional": "GGA-PBE", "state": "optimized geometry", "lattice": [[-2.531, 1.076, -2.006], [2.256, -2.574, -4.228], [-9.617, -14.079, 4.583]], "species": ["Sc", "Sc", "Sc", "Sc", "Sc", "Sc", "Sc", "Ho", "Ho", "Ho", "Er", "Er"], "fractional_positions": [[0.000, 0.696, 0.141], [0.500, 0.197, 0.173], [0.500, 0.803, 0.827], [0.000, 0.304, 0.859], [0.500, 0.257, 0.537], [0.000, 0.000, 0.000], [0.500, 0.743, 0.463], [0.500, 0.500, 0.000], [0.000, 0.224, 0.369], [0.000, 0.776, 0.631], [0.500, 0.710, 0.291], [0.500, 0.290, 0.709]], "volume_a3_per_atom": 27.2, "e_form_ev_per_atom": 0.100, "spacegroup": "P2/m (10)"}


12.
{"formula": "Ho2Er12Sc5", "functional": "GGA-PBE", "state": "optimized geometry", "lattice": [[8.623, 0.000, 0.000], [-4.311, 7.821, 1.208], [0.000, -1.451, 8.136]], "species": ["Er", "Er", "Er", "Er", "Er", "Er", "Er", "Er", "Er", "Er", "Er", "Er", "Sc", "Sc", "Sc", "Sc", "Sc", "Ho", "Ho"], "fractional_positions": [[0.166, 0.331, 0.870], [0.184, 0.782, 0.386], [0.598, 0.782, 0.386], [0.816, 0.218, 0.614], [0.609, 0.626, 0.776], [0.445, 0.890, 0.724], [0.017, 0.626, 0.776], [0.402, 0.218, 0.614], [0.391, 0.374, 0.224], [0.983, 0.374, 0.224], [0.834, 0.669, 0.130], [0.555, 0.110, 0.276], [0.000, 0.000, 0.500], [0.755, 0.510, 0.451], [0.647, 0.294, 0.942], [0.353, 0.706, 0.058], [0.245, 0.490, 0.549], [0.213, 0.000, 0.000], [0.787, 0.000, 0.000]], "volume_a3_per_atom": 29.7, "e_form_ev_per_atom": 0.149, "spacegroup": "C2/m (12)"}


13.
{"formula": "Ho8Er3Sc2", "functional": "GGA-PBE", "state": "optimized geometry", "lattice": [[-2.827, 1.737, 4.420], [-0.685, -7.176, 2.381], [8.623, 4.442, 3.765]], "species": ["Er", "Er", "Er", "Ho", "Ho", "Ho", "Ho", "Ho", "Ho", "Ho", "Ho", "Sc", "Sc"], "fractional_positions": [[0.000, 0.714, 0.000], [0.500, 0.000, 0.000], [0.000, 0.286, 0.000], [0.500, 0.402, 0.224], [0.000, 0.135, 0.270], [0.999, 0.325, 0.650], [0.001, 0.675, 0.350], [0.500, 0.598, 0.776], [0.000, 0.865, 0.730], [0.500, 0.178, 0.776], [0.500, 0.822, 0.224], [0.499, 0.241, 0.482], [0.501, 0.759, 0.518]], "volume_a3_per_atom": 31.3, "e_form_ev_per_atom": 0.237, "spacegroup": "C2/m (12)", "de_polymorph_ev_per_atom": 0.005}


14.
{"formula": "Ho4Er6Sc", "functional": "GGA-PBE", "state": "optimized geometry", "lattice": [[6.436, 0.000, 0.000], [0.000, 6.436, 0.000], [-3.218, -3.218, 8.431]], "species": ["Sc", "Er", "Er", "Er", "Er", "Er", "Er", "Ho", "Ho", "Ho", "Ho"], "fractional_positions": [[0.500, 0.500, 0.000], [0.000, 0.500, 0.000], [0.145, 0.145, 0.660], [0.515, 0.515, 0.660], [0.855, 0.485, 0.340], [0.485, 0.855, 0.340], [0.500, 0.000, 0.000], [0.954, 0.954, 0.267], [0.046, 0.687, 0.733], [0.687, 0.046, 0.733], [0.313, 0.313, 0.267]], "volume_a3_per_atom": 31.8, "e_form_ev_per_atom": 0.297, "spacegroup": "I-42m (121)", "de_polymorph_ev_per_atom": 0.159}


15.
{"formula": "Ho4Er5Sc4", "functional": "GGA-PBE", "state": "optimized geometry", "lattice": [[-1.632, -4.456, -1.067], [2.195, -1.372, -8.714], [6.865, -5.634, 1.938]], "species": ["Sc", "Sc", "Sc", "Sc", "Ho", "Ho", "Ho", "Ho", "Er", "Er", "Er", "Er", "Er"], "fractional_positions": [[0.845, 0.923, 0.387], [0.155, 0.077, 0.613], [0.768, 0.387, 0.077], [0.232, 0.613, 0.923], [0.381, 0.697, 0.540], [0.078, 0.540, 0.303], [0.619, 0.303, 0.460], [0.922, 0.460, 0.697], [0.541, 0.767, 0.151], [0.692, 0.849, 0.767], [0.308, 0.151, 0.233], [0.000, 0.000, 0.000], [0.459, 0.233, 0.849]], "volume_a3_per_atom": 28.7, "e_form_ev_per_atom": 0.044, "spacegroup": "I4/m (87)"}


16.
{"formula": "HoEr12Sc2", "functional": "GGA-PBE", "state": "optimized geometry", "lattice": [[6.359, -1.463, -0.851], [-1.463, 6.359, -0.851], [-2.231, -2.231, 24.434]], "species": ["Sc", "Sc", "Sc", "Sc", "Er", "Er", "Er", "Er", "Er", "Er", "Er", "Er", "Er", "Er", "Er", "Er", "Er", "Er", "Er", "Er", "Er", "Er", "Er", "Er", "Er", "Er", "Er", "Er", "Ho", "Ho"], "fractional_positions": [[0.644, 0.144, 0.716], [0.356, 0.856, 0.284], [0.144, 0.644, 0.716], [0.856, 0.356, 0.284], [0.939, 0.439, 0.150], [0.416, 0.416, 0.933], [0.084, 0.084, 0.067], [0.061, 0.561, 0.850], [0.007, 0.007, 0.806], [0.803, 0.803, 0.442], [0.599, 0.599, 0.680], [0.775, 0.275, 0.420], [0.725, 0.225, 0.580], [0.561, 0.061, 0.850], [0.507, 0.507, 0.806], [0.493, 0.493, 0.194], [0.901, 0.901, 0.320], [0.916, 0.916, 0.933], [0.584, 0.584, 0.067], [0.099, 0.099, 0.680], [0.197, 0.197, 0.558], [0.275, 0.775, 0.420], [0.439, 0.939, 0.150], [0.993, 0.993, 0.194], [0.303, 0.303, 0.442], [0.401, 0.401, 0.320], [0.697, 0.697, 0.558], [0.225, 0.725, 0.580], [0.000, 0.500, 0.000], [0.500, 0.000, 0.000]], "volume_a3_per_atom": 30.2, "e_form_ev_per_atom": 0.091, "spacegroup": "P2/m (10)"}


17.
{"formula": "Ho2Er5Sc12", "functional": "GGA-PBE", "state": "optimized geometry", "lattice": [[-7.878, 2.179, -2.680], [3.801, -7.038, -3.091], [-3.245, -4.110, 6.198]], "species": ["Er", "Er", "Er", "Er", "Er", "Sc", "Sc", "Sc", "Sc", "Sc", "Sc", "Sc", "Sc", "Sc", "Sc", "Sc", "Sc", "Ho", "Ho"], "fractional_positions": [[0.235, 0.471, 0.577], [0.295, 0.590, 0.992], [0.705, 0.410, 0.008], [0.765, 0.529, 0.423], [0.000, 0.000, 0.500], [0.330, 0.304, 0.248], [0.817, 0.256, 0.659], [0.026, 0.696, 0.752], [0.670, 0.696, 0.752], [0.183, 0.744, 0.341], [0.916, 0.832, 0.121], [0.438, 0.256, 0.659], [0.553, 0.106, 0.335], [0.447, 0.894, 0.665], [0.084, 0.168, 0.879], [0.562, 0.744, 0.341], [0.974, 0.304, 0.248], [0.684, 0.000, 0.000], [0.316, 0.000, 0.000]], "volume_a3_per_atom": 27.2, "e_form_ev_per_atom": 0.133, "spacegroup": "C2/m (12)"}


18.
{"formula": "Ho5Er2Sc5", "functional": "GGA-PBE", "state": "optimized geometry", "lattice": [[-6.952, -2.838, 1.388], [-3.846, -6.484, 1.219], [-2.064, -2.240, 10.402]], "species": ["Sc", "Sc", "Sc", "Sc", "Sc", "Ho", "Ho", "Ho", "Ho", "Ho", "Er", "Er"], "fractional_positions": [[0.418, 0.418, 0.248], [0.582, 0.582, 0.752], [0.668, 0.668, 0.999], [0.500, 0.500, 0.500], [0.332, 0.332, 0.001], [0.000, 0.000, 0.000], [0.752, 0.752, 0.245], [0.836, 0.836, 0.498], [0.248, 0.248, 0.755], [0.164, 0.164, 0.502], [0.917, 0.917, 0.753], [0.083, 0.083, 0.247]], "volume_a3_per_atom": 28.1, "e_form_ev_per_atom": 0.049, "spacegroup": "C2/m (12)"}